No. 1
# ZrSiP2 meta-GGA SCAN single point on PBEsol structure
# Crystal system = trigonal
# Magnetic moment = 0.00 μB/f.u.
# Uncorrected formation energy = -281 meV per atom
# Uncorrected energy = -187.90 eV for the cell shown
data_ZrSiP2
_cell_length_a 3.5542
_cell_length_b 3.5542
_cell_length_c 19.4819
_cell_angle_alpha 90.00
_cell_angle_beta 90.00
_cell_angle_gamma 120.00
_symmetry_space_group_name_H-M 'R 3 m'
_symmetry_Int_Tables_number 160
_symmetry_space_group_name_Hall 'R 3 -2"'
loop_
_atom_site_label
_atom_site_type_symbol
_atom_site_fract_x
_atom_site_fract_y
_atom_site_fract_z
Zr1 Zr 0.0000 0.0000 0.0000
Si1 Si 0.0000 0.0000 0.2348
P1 P 0.0000 0.0000 0.5134
P2 P 0.0000 0.0000 0.7450


No. 2
# Zr2SiP meta-GGA SCAN single point on PBEsol structure
# Crystal system = orthorhombic
# Magnetic moment = 0.00 μB/f.u.
# Uncorrected formation energy = -774 meV per atom
# Uncorrected energy = -169.82 eV for the cell shown
# E above lowest polymorph = 0.0 kJ per mole of atoms
data_Zr2SiP
_cell_length_a 3.850
_cell_length_b 4.970
_cell_length_c 7.290
_cell_angle_alpha 90.00
_cell_angle_beta 90.00
_cell_angle_gamma 90.00
_symmetry_space_group_name_H-M 'I m m m'
_symmetry_Int_Tables_number 71
_symmetry_space_group_name_Hall '-I 2 2'
loop_
_atom_site_label
_atom_site_type_symbol
_atom_site_fract_x
_atom_site_fract_y
_atom_site_fract_z
Zr1 Zr 0.000 0.000 0.240
Si1 Si 0.000 0.500 0.000
P1 P 0.000 0.500 0.500


No. 3
# ZrSi2P meta-GGA SCAN single point on PBEsol structure
# Crystal system = trigonal
# Magnetic moment = 0.00 μB/f.u.
# Uncorrected formation energy = 319 meV per atom
# Uncorrected energy = -179.56 eV for the cell shown
data_ZrSi2P
_cell_length_a 2.8885
_cell_length_b 2.8885
_cell_length_c 28.5206
_cell_angle_alpha 90.00
_cell_angle_beta 90.00
_cell_angle_gamma 120.00
_symmetry_space_group_name_H-M 'R 3 m'
_symmetry_Int_Tables_number 160
_symmetry_space_group_name_Hall 'R 3 -2"'
loop_
_atom_site_label
_atom_site_type_symbol
_atom_site_fract_x
_atom_site_fract_y
_atom_site_fract_z
Zr1 Zr 0.0000 0.0000 0.0000
Si1 Si 0.0000 0.0000 0.4860
Si2 Si 0.0000 0.0000 0.7472
P1 P 0.0000 0.0000 0.2560